1.
10
Lattice="-2.094 3.159 2.659 -3.932 -3.563 1.138 6.805 -3.090 9.028" Properties=species:S:1:pos:R:3 comment="AcY2Ga2 | Alexandria via LeMat-Bulk | PBE-GGA | relaxed" formation_energy_ev_per_atom=-0.395 energy_ev_per_atom=-5.013 pbc="T T T"
Y 1.934 -1.692 5.548
Y -1.154 -1.801 7.277
Ga 4.736 -3.504 9.908
Ga 0.007 0.483 5.477
Ac -1.572 -2.424 3.658
Ac 2.352 -1.069 9.167
Y -1.436 1.475 3.163
Ga -3.957 0.011 2.917
Ga 0.772 -3.976 7.348
Y 2.215 -4.968 9.662

2.
8
Lattice="5.989 0.000 0.000 0.000 5.989 0.000 2.995 2.995 4.878" Properties=species:S:1:pos:R:3 comment="NbS2F | Alexandria via LeMat-Bulk | PBE-GGA | relaxed" e_form_raw_ev_per_fu=-2.850 energy_ev_per_atom=-5.761 pbc="T T T"
F 2.995 2.995 0.000
Nb 5.989 2.995 2.439
S 4.492 4.269 3.658
Nb 0.000 0.000 0.000
S 4.715 1.497 1.219
S 1.275 4.492 1.219
S 7.487 7.709 3.658
F 2.995 5.989 2.439

3.
4
Lattice="5.724 0.124 0.000 -1.509 5.523 0.000 0.000 0.000 3.649" Properties=species:S:1:pos:R:3 comment="SrMnPb2 | Alexandria via LeMat-Bulk | PBE-GGA | relaxed" formation_energy_ev_per_atom=0.126 energy_ev_per_atom=-4.441 pbc="T T T"
Pb 0.000 0.000 0.000
Pb 2.108 2.824 0.000
Mn -0.754 2.762 1.824
Sr 2.862 0.062 1.824

4.
8
Lattice="6.689 0.000 0.000 3.345 5.431 0.051 3.345 0.496 5.408" Properties=species:S:1:pos:R:3 comment="KPaPd2Se4 | Alexandria via LeMat-Bulk | PBE-GGA | relaxed" e_form_raw_ev_per_fu=-5.835 energy_ev_per_atom=-5.094 pbc="T T T"
Pd 10.034 4.031 3.713
Pa 6.689 2.963 2.730
Se 5.241 0.619 2.839
Se 8.137 2.881 0.384
Se 8.137 3.046 5.075
Pd 3.345 1.896 1.746
Se 5.241 5.308 2.620
K 0.000 0.000 0.000

5.
7
Lattice="-0.801 3.581 2.108 1.076 -1.895 3.628 7.094 2.962 1.911" Properties=species:S:1:pos:R:3 comment="Sc4Ga2O | Alexandria via LeMat-Bulk | PBE-GGA | relaxed" e_form_raw_ev_per_fu=-8.554 energy_ev_per_atom=-6.413 pbc="T T T"
Sc 4.746 2.247 2.234
Sc 0.538 -0.947 1.814
O 0.000 0.000 0.000
Ga 5.317 3.222 5.042
Sc 2.623 2.401 5.412
Ga 2.053 1.426 2.604
Sc -0.400 1.790 1.054

6.
10
Lattice="-1.759 0.552 4.318 1.757 -4.172 1.249 9.600 5.023 3.270" Properties=species:S:1:pos:R:3 comment="Ba2CdGa3Ag4 | Alexandria via LeMat-Bulk | PBE-GGA | relaxed" formation_energy_ev_per_atom=-0.266 energy_ev_per_atom=-2.791 pbc="T T T"
Ba 1.456 1.498 2.955
Ga 2.009 -1.494 1.009
Ga 7.590 4.707 5.044
Cd 4.799 0.701 4.418
Ba 8.143 1.715 3.099
Ag -0.001 -1.810 2.784
Ag 0.000 0.000 0.000
Ga 4.800 2.511 1.635
Ag 5.284 3.500 4.259
Ag 4.315 -0.288 1.795

7.
3
Lattice="-2.632 2.326 0.227 -2.323 -2.641 0.124 2.926 0.056 6.061" Properties=species:S:1:pos:R:3 comment="PmDyCu | Alexandria via LeMat-Bulk | PBE-GGA | relaxed" formation_energy_ev_per_atom=-0.109 energy_ev_per_atom=-4.592 pbc="T T T"
Dy 0.028 -0.006 0.394
Cu -2.335 -0.190 2.159
Pm 0.278 -0.063 3.860

8.
12
Lattice="5.646 0.000 0.000 -2.823 4.890 0.000 0.000 0.000 9.150" Properties=species:S:1:pos:R:3 comment="Ca3HoAl8 | Alexandria via LeMat-Bulk | PBE-GGA | relaxed" formation_energy_ev_per_atom=-0.357 energy_ev_per_atom=-3.734 pbc="T T T"
Al -1.450 4.097 2.318
Al 1.443 2.427 6.826
Ca 2.823 1.630 0.606
Ho 0.000 0.000 5.193
Al 0.000 3.260 0.007
Al 0.000 1.586 2.318
Al 2.823 0.036 6.826
Al 4.203 2.427 6.826
Ca 2.823 1.630 3.960
Al 0.000 3.260 4.579
Ca 0.000 0.000 8.547
Al 1.450 4.097 2.318

9.
5
Lattice="5.751 0.000 0.000 0.000 5.751 0.000 0.000 0.000 5.751" Properties=species:S:1:pos:R:3 comment="Ac3PIr | Alexandria via LeMat-Bulk | PBE-GGA | relaxed" formation_energy_ev_per_atom=-0.268 energy_ev_per_atom=-5.587 pbc="T T T"
Ac 0.000 0.000 2.876
Ac 2.876 0.000 0.000
Ir 0.000 0.000 0.000
P 2.876 2.876 2.876
Ac 0.000 2.876 0.000

10.
4
Lattice="-1.127 -3.011 2.875 -2.680 -1.966 -3.109 3.481 -2.599 -1.357" Properties=species:S:1:pos:R:3 comment="CeInGa2 | Alexandria via LeMat-Bulk | PBE-GGA | relaxed" formation_energy_ev_per_atom=-0.451 energy_ev_per_atom=-4.133 pbc="T T T"
Ce -0.163 -3.788 -0.796
Ga -1.340 -0.983 -1.555
Ga 1.740 -1.299 -0.679
In -0.564 -1.505 1.437

11.
4
Lattice="-2.765 0.250 3.806 -1.075 -2.588 3.787 4.540 2.676 4.113" Properties=species:S:1:pos:R:3 comment="SrTaW2 | Alexandria via LeMat-Bulk | PBE-GGA | relaxed" formation_energy_ev_per_atom=0.926 energy_ev_per_atom=-8.934 pbc="T T T"
Ta -0.360 -0.232 2.676
Sr 0.421 0.211 5.848
W 4.474 2.636 4.104
W 1.055 0.567 9.043

12.
3
Lattice="4.044 0.000 0.000 2.022 3.502 0.000 2.022 1.167 3.302" Properties=species:S:1:pos:R:3 comment="Co2Pt | Alexandria via LeMat-Bulk | PBE-GGA | relaxed" formation_energy_ev_per_atom=0.472 energy_ev_per_atom=-6.279 pbc="T T T"
Co 2.022 1.167 0.825
Co 6.066 3.502 2.476
Pt 0.000 0.000 0.000